Computed, not measured: a relaxed Mg2PtAu crystal at the GGA-PBEsol level of DFT.

The structure in CIF format:
```
data_Mg2PtAu
_cell_length_a 3.903
_cell_length_b 3.903
_cell_length_c 8.586
_cell_angle_alpha 90.00
_cell_angle_beta 90.00
_cell_angle_gamma 90.00
_symmetry_space_group_name_H-M 'P 1'
_symmetry_Int_Tables_number 1
loop_
_symmetry_equiv_pos_as_xyz
'x,y,z'
loop_
_atom_site_label
_atom_site_type_symbol
_atom_site_fract_x
_atom_site_fract_y
_atom_site_fract_z
Mg1 Mg 0.000 0.000 0.000
Mg2 Mg 0.000 0.500 0.250
Mg3 Mg 0.500 0.000 0.750
Mg4 Mg 0.500 0.500 0.500
Pt1 Pt 0.000 0.500 0.750
Pt2 Pt 0.500 0.000 0.250
Au1 Au 0.000 0.000 0.500
Au2 Au 0.500 0.500 0.000
```

The value obtained for the total energy is -33.68 eV for the cell shown. Its symmetry is I-4m2 (119). The value obtained for the density of states at the Fermi level is 1.4 states/eV/f.u. The spin magnetization is 0.00 μB per cell. The calculation puts the energy of formation from the pure elements at -0.630 eV per atom.